# VReAg2 PBE relaxed
data_VReAg2
_cell_length_a 3.6588
_cell_length_b 3.6588
_cell_length_c 20.2310
_cell_angle_alpha 90.00
_cell_angle_beta 90.00
_cell_angle_gamma 90.00
_symmetry_space_group_name_H-M 'I -4 2 d'
_symmetry_Int_Tables_number 122
_symmetry_space_group_name_Hall 'I -4 2bw'
loop_
_atom_site_label
_atom_site_type_symbol
_atom_site_fract_x
_atom_site_fract_y
_atom_site_fract_z
_atom_site_occupancy
V1 V 0.0000 0.0000 0.0000 1
Re1 Re 0.0000 0.0000 0.5000 1
Ag1 Ag 0.2489 0.2500 0.6250 1
# Electronic total energy ... -5.9840 eV per atom
# Magnetization ... 0.16 μB/f.u.
# Formation energy from the elements ... 0.8333 eV per atom
# Calculated volume ... 270.8 Å³ per cell

---

# V2ReAg2 PBE relaxed
data_V2ReAg2
_cell_length_a 3.4650
_cell_length_b 3.4650
_cell_length_c 13.4730
_cell_angle_alpha 90.00
_cell_angle_beta 90.00
_cell_angle_gamma 90.00
_symmetry_space_group_name_H-M 'I 4/m m m'
_symmetry_Int_Tables_number 139
_symmetry_space_group_name_Hall '-I 4 2'
loop_
_atom_site_label
_atom_site_type_symbol
_atom_site_fract_x
_atom_site_fract_y
_atom_site_fract_z
_atom_site_occupancy
V1 V 0.0000 0.5000 0.2500 1
Re1 Re 0.0000 0.0000 0.0000 1
Ag1 Ag 0.0000 0.0000 0.4024 1
# Electronic total energy ... -6.1747 eV per atom
# Magnetization ... 0.00 μB/f.u.
# Formation energy from the elements ... 1.1029 eV per atom
# Calculated volume ... 161.8 Å³ per cell

---

# V2ReAg PBE relaxed
data_V2ReAg
_cell_length_a 6.9383
_cell_length_b 6.9383
_cell_length_c 5.4106
_cell_angle_alpha 90.00
_cell_angle_beta 90.00
_cell_angle_gamma 90.00
_symmetry_space_group_name_H-M 'I -4 2 d'
_symmetry_Int_Tables_number 122
_symmetry_space_group_name_Hall 'I -4 2bw'
loop_
_atom_site_label
_atom_site_type_symbol
_atom_site_fract_x
_atom_site_fract_y
_atom_site_fract_z
_atom_site_occupancy
V1 V 0.2242 0.2500 0.1250 1
Re1 Re 0.0000 0.0000 0.0000 1
Ag1 Ag 0.0000 0.0000 0.5000 1
# Electronic total energy ... -7.6237 eV per atom
# Magnetization ... 0.00 μB/f.u.
# Formation energy from the elements ... 0.7604 eV per atom
# Calculated volume ... 260.5 Å³ per cell

---

# VRe2Ag PBE relaxed
data_VRe2Ag
_cell_length_a 6.2294
_cell_length_b 6.2294
_cell_length_c 6.2294
_cell_angle_alpha 90.00
_cell_angle_beta 90.00
_cell_angle_gamma 90.00
_symmetry_space_group_name_H-M 'F m -3 m'
_symmetry_Int_Tables_number 225
_symmetry_space_group_name_Hall '-F 4 2 3'
loop_
_atom_site_label
_atom_site_type_symbol
_atom_site_fract_x
_atom_site_fract_y
_atom_site_fract_z
_atom_site_occupancy
V1 V 0.0000 0.0000 0.0000 1
Re1 Re 0.2500 0.2500 0.2500 1
Ag1 Ag 0.0000 0.0000 0.5000 1
# Electronic total energy ... -8.6143 eV per atom
# Magnetization ... 0.00 μB/f.u.
# Formation energy from the elements ... 0.6023 eV per atom
# Calculated volume ... 241.7 Å³ per cell

---

# VReAg3 PBE relaxed
data_VReAg3
_cell_length_a 4.8501
_cell_length_b 4.8501
_cell_length_c 4.8501
_cell_angle_alpha 90.00
_cell_angle_beta 90.00
_cell_angle_gamma 90.00
_symmetry_space_group_name_H-M 'P m -3 m'
_symmetry_Int_Tables_number 221
_symmetry_space_group_name_Hall '-P 4 2 3'
loop_
_atom_site_label
_atom_site_type_symbol
_atom_site_fract_x
_atom_site_fract_y
_atom_site_fract_z
_atom_site_occupancy
V1 V 0.0000 0.0000 0.0000 1
Re1 Re 0.5000 0.5000 0.5000 1
Ag1 Ag 0.0000 0.0000 0.5000 1
# Electronic total energy ... -3.9223 eV per atom
# Magnetization ... 6.65 μB/f.u.
# Formation energy from the elements ... 2.1018 eV per atom
# Calculated volume ... 114.1 Å³ per cell

---

# Y2VReAg PBE relaxed
data_Y2VReAg
_cell_length_a 5.4416
_cell_length_b 5.4416
_cell_length_c 4.5996
_cell_angle_alpha 90.00
_cell_angle_beta 90.00
_cell_angle_gamma 90.00
_symmetry_space_group_name_H-M 'P 4/m m m'
_symmetry_Int_Tables_number 123
_symmetry_space_group_name_Hall '-P 4 2'
loop_
_atom_site_label
_atom_site_type_symbol
_atom_site_fract_x
_atom_site_fract_y
_atom_site_fract_z
_atom_site_occupancy
Y1 Y 0.0000 0.5000 0.0000 1
V1 V 0.0000 0.0000 0.5000 1
Re1 Re 0.0000 0.0000 0.0000 1
Ag1 Ag 0.5000 0.5000 0.5000 1
# Electronic total energy ... -6.9141 eV per atom
# Magnetization ... 1.74 μB/f.u.
# Formation energy from the elements ... 0.5551 eV per atom
# Calculated volume ... 136.2 Å³ per cell

---

# Re2Ag2W PBE relaxed
data_Re2Ag2W
_cell_length_a 3.5712
_cell_length_b 3.5712
_cell_length_c 13.7809
_cell_angle_alpha 90.00
_cell_angle_beta 90.00
_cell_angle_gamma 90.00
_symmetry_space_group_name_H-M 'I 4/m m m'
_symmetry_Int_Tables_number 139
_symmetry_space_group_name_Hall '-I 4 2'
loop_
_atom_site_label
_atom_site_type_symbol
_atom_site_fract_x
_atom_site_fract_y
_atom_site_fract_z
_atom_site_occupancy
Re1 Re 0.0000 0.5000 0.2500 1
Ag1 Ag 0.0000 0.0000 0.0962 1
W1 W 0.0000 0.0000 0.5000 1
# Electronic total energy ... -7.3451 eV per atom
# Magnetization ... 0.00 μB/f.u.
# Formation energy from the elements ... 1.3653 eV per atom
# Calculated volume ... 175.8 Å³ per cell

---

# ReAgW2 PBE relaxed
data_ReAgW2
_cell_length_a 6.3725
_cell_length_b 6.3725
_cell_length_c 6.3725
_cell_angle_alpha 90.00
_cell_angle_beta 90.00
_cell_angle_gamma 90.00
_symmetry_space_group_name_H-M 'F m -3 m'
_symmetry_Int_Tables_number 225
_symmetry_space_group_name_Hall '-F 4 2 3'
loop_
_atom_site_label
_atom_site_type_symbol
_atom_site_fract_x
_atom_site_fract_y
_atom_site_fract_z
_atom_site_occupancy
Re1 Re 0.0000 0.0000 0.0000 1
Ag1 Ag 0.0000 0.0000 0.5000 1
W1 W 0.2500 0.2500 0.2500 1
# Electronic total energy ... -9.6315 eV per atom
# Magnetization ... 0.00 μB/f.u.
# Formation energy from the elements ... 0.6699 eV per atom
# Calculated volume ... 258.8 Å³ per cell

---

# ReAgW2 PBE relaxed
data_ReAgW2
_cell_length_a 5.5527
_cell_length_b 8.9604
_cell_length_c 2.6878
_cell_angle_alpha 90.00
_cell_angle_beta 106.10
_cell_angle_gamma 90.00
_symmetry_space_group_name_H-M 'C 1 2/m 1'
_symmetry_Int_Tables_number 12
loop_
_symmetry_equiv_pos_as_xyz
'x,y,z'
'-x,-y,-z'
'-x,y,-z'
'x,-y,z'
'x+1/2,y+1/2,z'
'-x+1/2,-y+1/2,-z'
'-x+1/2,y+1/2,-z'
'x+1/2,-y+1/2,z'
loop_
_atom_site_label
_atom_site_type_symbol
_atom_site_fract_x
_atom_site_fract_y
_atom_site_fract_z
_atom_site_occupancy
Re1 Re 0.0000 0.0000 0.0000 1
Ag1 Ag 0.0000 0.5000 0.0000 1
W1 W 0.2500 0.2500 0.5000 1
# Electronic total energy ... -9.8094 eV per atom
# Magnetization ... 0.00 μB/f.u.
# Formation energy from the elements ... 0.4920 eV per atom
# Calculated volume ... 128.5 Å³ per cell

---

# ReAgW2 PBE relaxed
data_ReAgW2
_cell_length_a 7.2996
_cell_length_b 7.2996
_cell_length_c 5.4352
_cell_angle_alpha 90.00
_cell_angle_beta 90.00
_cell_angle_gamma 90.00
_symmetry_space_group_name_H-M 'I -4 2 d'
_symmetry_Int_Tables_number 122
_symmetry_space_group_name_Hall 'I -4 2bw'
loop_
_atom_site_label
_atom_site_type_symbol
_atom_site_fract_x
_atom_site_fract_y
_atom_site_fract_z
_atom_site_occupancy
Re1 Re 0.0000 0.0000 0.0000 1
Ag1 Ag 0.0000 0.0000 0.5000 1
W1 W 0.2147 0.7500 0.1250 1
# Electronic total energy ... -9.1879 eV per atom
# Magnetization ... 0.00 μB/f.u.
# Formation energy from the elements ... 1.1135 eV per atom
# Calculated volume ... 289.6 Å³ per cell

---

# ReAgW2 PBE relaxed
data_ReAgW2
_cell_length_a 5.5978
_cell_length_b 8.2066
_cell_length_c 2.7794
_cell_angle_alpha 90.00
_cell_angle_beta 90.00
_cell_angle_gamma 90.00
_symmetry_space_group_name_H-M 'C m m m'
_symmetry_Int_Tables_number 65
_symmetry_space_group_name_Hall '-C 2 2'
loop_
_atom_site_label
_atom_site_type_symbol
_atom_site_fract_x
_atom_site_fract_y
_atom_site_fract_z
_atom_site_occupancy
Re1 Re 0.0000 0.0000 0.0000 1
Ag1 Ag 0.0000 0.5000 0.0000 1
W1 W 0.2500 0.2500 0.5000 1
# Electronic total energy ... -9.8179 eV per atom
# Magnetization ... 0.00 μB/f.u.
# Formation energy from the elements ... 0.4835 eV per atom
# Calculated volume ... 127.7 Å³ per cell

---

# ReAgW2 PBE relaxed
data_ReAgW2
_cell_length_a 4.0154
_cell_length_b 4.0154
_cell_length_c 7.8940
_cell_angle_alpha 90.00
_cell_angle_beta 90.00
_cell_angle_gamma 90.00
_symmetry_space_group_name_H-M 'I 4/m m m'
_symmetry_Int_Tables_number 139
_symmetry_space_group_name_Hall '-I 4 2'
loop_
_atom_site_label
_atom_site_type_symbol
_atom_site_fract_x
_atom_site_fract_y
_atom_site_fract_z
_atom_site_occupancy
Re1 Re 0.0000 0.0000 0.0000 1
Ag1 Ag 0.0000 0.0000 0.5000 1
W1 W 0.0000 0.5000 0.2500 1
# Electronic total energy ... -9.7931 eV per atom
# Magnetization ... 0.00 μB/f.u.
# Formation energy from the elements ... 0.5083 eV per atom
# Calculated volume ... 127.3 Å³ per cell

---

| no. | density (g/cm³) |
| --- | --- |
| 1 | 11.11 |
| 2 | 10.34 |
| 3 | 10.10 |
| 4 | 14.60 |
| 5 | 8.16 |
| 6 | 6.37 |
| 7 | 14.59 |
| 8 | 16.99 |
| 9 | 17.11 |
| 10 | 15.18 |
| 11 | 17.21 |
| 12 | 17.27 |